Tb2CoPtO6, optimized geometry, DFT PBE+U; calculated density = 9.30 Mg/m³; density of states at the Fermi level = 0.000 states/eV/atom; symmetry = No. 14; E = -7.194 eV per atom
1.0
5.338 0.000 0.000
0.000 5.809 0.000
-5.326 0.000 7.688
Tb Co Pt O
4 2 2 12
direct
0.225 0.077 0.250 Tb
0.225 0.423 0.750 Tb
0.775 0.577 0.250 Tb
0.775 0.923 0.750 Tb
0.500 0.000 0.000 Co
0.500 0.500 0.500 Co
0.000 0.000 0.500 Pt
0.000 0.500 0.000 Pt
0.119 0.196 0.938 O
0.119 0.304 0.438 O
0.257 0.689 0.941 O
0.257 0.811 0.441 O
0.374 0.048 0.750 O
0.374 0.452 0.250 O
0.626 0.548 0.750 O
0.626 0.952 0.250 O
0.743 0.189 0.559 O
0.743 0.311 0.059 O
0.881 0.696 0.562 O
0.881 0.804 0.062 O